LaOs2Br2 | GGA-PBEsol | optimized geometry

Values from the calculation:
- Uncorrected formation energy: 289 meV/atom
- Uncorrected energy: -6.41 eV/atom
- Fermi-level density of states: 0.42 states/eV/atom

Cell lengths 4.358, 4.358, 11.346 Å; angles 90.00, 90.00, 90.00 degrees
Space group I4/mmm (No. 139)
Inequivalent atoms, fractional coordinates:
La (0.000, 0.000, 0.000) x2
Os (0.000, 0.000, 0.401) x4
Br (0.000, 0.500, 0.250) x4


La2PBr | GGA-PBEsol | optimized geometry

Values from the calculation:
- Uncorrected formation energy: -458 meV/atom
- Uncorrected energy: -5.05 eV/atom
- Fermi-level density of states: 1.36 states/eV/atom

Cell lengths 7.233, 7.233, 7.233 Å; angles 90.00, 90.00, 90.00 degrees
Space group F-43m (No. 216)
Inequivalent atoms, fractional coordinates:
La (0.000, 0.000, 0.000) x4
La (0.250, 0.250, 0.250) x4
P (0.250, 0.250, 0.750) x4
Br (0.000, 0.000, 0.500) x4


LaPBr2 | GGA-PBEsol | optimized geometry

Values from the calculation:
- Excess energy over the best structure of this formula in the dataset: 243 meV per atom
- Uncorrected formation energy: -412 meV/atom
- Uncorrected energy: -4.13 eV/atom
- Fermi-level density of states: 0.66 states/eV/atom

Cell lengths 3.6777, 3.6777, 29.8785 Å; angles 90.00, 90.00, 120.00 degrees
Space group R-3m (No. 166, hexagonal axes)
Inequivalent atoms, fractional coordinates:
La (0.0000, 0.0000, 0.0000) x3
P (0.0000, 0.0000, 0.5000) x3
Br (0.0000, 0.0000, 0.2639) x6


La2PBr | GGA-PBEsol | optimized geometry

Values from the calculation:
- Uncorrected formation energy: -1070 meV/atom
- Uncorrected energy: -5.66 eV/atom
- Fermi-level density of states: 0.80 states/eV/atom

Cell lengths 4.183, 4.183, 12.314 Å; angles 90.00, 90.00, 90.00 degrees
Space group I-4m2 (No. 119)
Inequivalent atoms, fractional coordinates:
La (0.000, 0.000, 0.000) x2
La (0.000, 0.500, 0.250) x2
P (0.000, 0.000, 0.500) x2
Br (0.000, 0.500, 0.750) x2


LaPBr2 | GGA-PBEsol | optimized geometry

Values from the calculation:
- Excess energy over the best structure of this formula in the dataset: 0 meV per atom
- Uncorrected formation energy: -654 meV/atom
- Uncorrected energy: -4.37 eV/atom
- Fermi-level density of states: 0.39 states/eV/atom

Cell lengths 3.917, 3.917, 6.487 Å; angles 90.00, 90.00, 90.00 degrees
Space group P4/mmm (No. 123)
Inequivalent atoms, fractional coordinates:
La (0.000, 0.000, 0.000) x1
P (0.000, 0.000, 0.500) x1
Br (0.500, 0.500, 0.239) x2


LaPBr | GGA-PBEsol | optimized geometry

Values from the calculation:
- Uncorrected formation energy: -721 meV/atom
- Uncorrected energy: -5.06 eV/atom
- Fermi-level density of states: 1.28 states/eV/atom

Cell lengths 6.859, 6.859, 6.859 Å; angles 90.00, 90.00, 90.00 degrees
Space group F-43m (No. 216)
Inequivalent atoms, fractional coordinates:
La (0.000, 0.000, 0.000) x4
P (0.250, 0.250, 0.250) x4
Br (0.000, 0.000, 0.500) x4


La3PBr3 | GGA-PBEsol | optimized geometry

Values from the calculation:
- Uncorrected formation energy: -1753 meV/atom
- Uncorrected energy: -5.67 eV/atom
- Fermi-level density of states: 0.43 states/eV/atom

Cell lengths 11.885, 11.885, 11.885 Å; angles 90.00, 90.00, 90.00 degrees
Space group I4_132 (No. 214)
Inequivalent atoms, fractional coordinates:
La (0.114, 0.364, 0.125) x24
P (0.125, 0.125, 0.125) x8
Br (0.117, 0.133, 0.625) x24


LaPbBr2 | GGA-PBEsol | optimized geometry

Values from the calculation:
- Uncorrected formation energy: -986 meV/atom
- Uncorrected energy: -4.26 eV/atom
- Fermi-level density of states: 0.50 states/eV/atom

Cell lengths 3.862, 5.120, 5.990 Å; angles 90.00, 90.19, 90.00 degrees
Space group P2/m (No. 10)
Inequivalent atoms, fractional coordinates:
La (0.000, 0.000, 0.000) x1
Pb (0.500, 0.000, 0.500) x1
Br (0.212, 0.500, 0.244) x2


La2PbBr | GGA-PBEsol | optimized geometry

Values from the calculation:
- Excess energy over the best structure of this formula in the dataset: 0 meV per atom
- Uncorrected formation energy: -1032 meV/atom
- Uncorrected energy: -5.17 eV/atom
- Fermi-level density of states: 0.52 states/eV/atom

Cell lengths 4.6191, 4.6191, 20.3445 Å; angles 90.00, 90.00, 120.00 degrees
Space group R-3m (No. 166, hexagonal axes)
Inequivalent atoms, fractional coordinates:
La (0.0000, 0.0000, 0.2478) x6
Pb (0.0000, 0.0000, 0.0000) x3
Br (0.0000, 0.0000, 0.5000) x3


La2Pb2Br | GGA-PBEsol | optimized geometry

Values from the calculation:
- Uncorrected formation energy: -894 meV/atom
- Uncorrected energy: -5.01 eV/atom
- Fermi-level density of states: 0.92 states/eV/atom

Cell lengths 8.290, 8.290, 4.619 Å; angles 90.00, 90.00, 90.00 degrees
Space group P4/mbm (No. 127)
Inequivalent atoms, fractional coordinates:
La (0.177, 0.323, 0.000) x4
Pb (0.126, 0.626, 0.500) x4
Br (0.000, 0.000, 0.000) x2


La2PbBr | GGA-PBEsol | optimized geometry

Values from the calculation:
- Excess energy over the best structure of this formula in the dataset: 3 meV per atom
- Uncorrected formation energy: -1030 meV/atom
- Uncorrected energy: -5.17 eV/atom
- Fermi-level density of states: 0.48 states/eV/atom

Cell lengths 4.479, 4.479, 6.273 Å; angles 90.00, 90.00, 90.00 degrees
Space group P4/mmm (No. 123)
Inequivalent atoms, fractional coordinates:
La (0.000, 0.000, 0.000) x1
La (0.500, 0.500, 0.500) x1
Pb (0.000, 0.000, 0.500) x1
Br (0.500, 0.500, 0.000) x1


La2Pd2Br | GGA-PBEsol | optimized geometry

Values from the calculation:
- Uncorrected formation energy: -873 meV/atom
- Uncorrected energy: -5.77 eV/atom
- Fermi-level density of states: 0.63 states/eV/atom

Cell lengths 3.866, 3.866, 16.490 Å; angles 90.00, 90.00, 90.00 degrees
Space group I4/mmm (No. 139)
Inequivalent atoms, fractional coordinates:
La (0.000, 0.000, 0.121) x4
Pd (0.000, 0.500, 0.250) x4
Br (0.000, 0.000, 0.500) x2